Entry a
Computed, not measured: crystalline CaLaB at its relaxed geometry at the PBE level of DFT.

Cell: 7.471 7.471 8.471 Å, 124.49 124.49 25.42°
Element x y z (fractional)
Ca 0.000 0.000 0.000
Ca 0.502 0.502 0.591
La 0.220 0.220 0.513
La 0.782 0.782 0.079
B 0.001 0.001 0.319
B 0.501 0.501 0.281

Properties
* symmetry: No. 8
* volume: 27.547 Å³ per atom
* spin magnetization: 0.0 μB per cell
* density of states at the Fermi level: 6.7 states/eV per cell

=====

Entry b
Computed, not measured: crystalline CaLaB at its relaxed geometry at the PBE level of DFT.

Cell: 8.337 4.989 7.319 Å, 90.00 90.00 90.00°
Element x y z (fractional)
Ca 0.068 0.250 0.172
Ca 0.432 0.750 0.672
Ca 0.568 0.250 0.328
Ca 0.932 0.750 0.828
La 0.156 0.250 0.613
La 0.344 0.750 0.113
La 0.656 0.250 0.887
La 0.844 0.750 0.387
B 0.166 0.750 0.425
B 0.334 0.250 0.925
B 0.666 0.750 0.075
B 0.834 0.250 0.575

Properties
* symmetry: No. 62
* volume: 25.369 Å³ per atom
* spin magnetization: 0.0 μB per cell
* density of states at the Fermi level: 0.3 states/eV per cell

=====

Entry c
Computed, not measured: crystalline CaLaB at its relaxed geometry at the PBE level of DFT.

Cell: 6.955 3.269 7.203 Å, 90.00 91.15 90.00°
Element x y z (fractional)
Ca 0.185 0.250 0.317
Ca 0.815 0.750 0.683
La 0.322 0.250 0.805
La 0.678 0.750 0.195
B 0.471 0.750 0.513
B 0.529 0.250 0.487

Properties
* symmetry: No. 11
* volume: 27.285 Å³ per atom
* spin magnetization: 0.0 μB per cell
* density of states at the Fermi level: 5.8 states/eV per cell

=====

What should be chosen as the least stable of them? Choose entry b.

=====

Entry a
Computed, not measured: crystalline CaLaB at its relaxed geometry at the PBE level of DFT.

Cell: 3.290 5.283 10.049 Å, 90.76 90.50 107.82°
Element x y z (fractional)
Ca 0.000 0.000 0.000
Ca 0.500 0.000 0.500
La 0.241 0.495 0.751
La 0.759 0.505 0.249
B 0.263 0.526 0.021
B 0.737 0.474 0.979

Properties
* symmetry: No. 2
* volume: 27.707 Å³ per atom
* spin magnetization: 0.0 μB per cell
* density of states at the Fermi level: 6.3 states/eV per cell

=====

Entry b
Computed, not measured: crystalline CaLaB at its relaxed geometry at the PBE level of DFT.

Cell: 7.333 7.333 7.063 Å, 102.22 102.22 26.10°
Element x y z (fractional)
Ca 0.000 0.000 0.000
Ca 0.248 0.248 0.968
La 0.435 0.435 0.487
La 0.677 0.677 0.465
B 0.085 0.085 0.699
B 0.594 0.594 0.773

Properties
* symmetry: No. 8
* volume: 27.181 Å³ per atom
* spin magnetization: 0.0 μB per cell
* density of states at the Fermi level: 4.5 states/eV per cell

=====

Entry c
Computed, not measured: crystalline CaLaB at its relaxed geometry at the PBE level of DFT.

Cell: 4.729 4.729 4.729 Å, 60.00 60.00 60.00°
Element x y z (fractional)
Ca 0.000 0.000 0.000
La 0.500 0.500 0.500
B 0.750 0.750 0.750

Properties
* symmetry: No. 216
* volume: 24.926 Å³ per atom
* spin magnetization: 0.0 μB per cell
* density of states at the Fermi level: 1.6 states/eV per cell

=====

What should be chosen as the least stable of them? Choose entry c.

=====

Entry a
Computed, not measured: crystalline CaLaB at its relaxed geometry at the PBE level of DFT.

Cell: 10.303 4.440 6.909 Å, 90.00 90.00 90.00°
Element x y z (fractional)
Ca 0.107 0.250 0.091
Ca 0.393 0.750 0.591
Ca 0.607 0.250 0.409
Ca 0.893 0.750 0.909
La 0.144 0.250 0.591
La 0.356 0.750 0.091
La 0.644 0.250 0.909
La 0.856 0.750 0.409
B 0.162 0.750 0.830
B 0.338 0.250 0.330
B 0.662 0.750 0.670
B 0.838 0.250 0.170

Properties
* symmetry: No. 62
* volume: 26.336 Å³ per atom
* spin magnetization: 0.0 μB per cell
* density of states at the Fermi level: 2.5 states/eV per cell

=====

Entry b
Computed, not measured: crystalline CaLaB at its relaxed geometry at the PBE level of DFT.

Cell: 13.880 6.782 3.352 Å, 90.00 90.00 90.00°
Element x y z (fractional)
Ca 0.121 0.250 0.003
Ca 0.379 0.750 0.503
Ca 0.621 0.250 0.497
Ca 0.879 0.750 0.997
La 0.107 0.750 0.001
La 0.393 0.250 0.501
La 0.607 0.750 0.499
La 0.893 0.250 0.999
B 0.000 0.000 0.500
B 0.000 0.500 0.500
B 0.500 0.000 0.000
B 0.500 0.500 0.000

Properties
* symmetry: No. 62
* volume: 26.295 Å³ per atom
* spin magnetization: 0.0 μB per cell
* density of states at the Fermi level: 9.0 states/eV per cell

=====

Entry c
Computed, not measured: crystalline CaLaB at its relaxed geometry at the PBE level of DFT.

Cell: 4.650 4.650 4.650 Å, 60.00 60.00 60.00°
Element x y z (fractional)
Ca 0.000 0.000 0.000
La 0.250 0.250 0.250
B 0.500 0.500 0.500

Properties
* symmetry: No. 216
* volume: 23.698 Å³ per atom
* spin magnetization: 0.0 μB per cell
* density of states at the Fermi level: 0.0 states/eV per cell

=====

What should be chosen as the least stable of them? Choose entry c.

=====

Entry a
Computed, not measured: crystalline CaLaB at its relaxed geometry at the PBE level of DFT.

Cell: 13.578 13.578 3.308 Å, 90.01 90.01 15.87°
Element x y z (fractional)
Ca 0.193 0.193 0.249
Ca 0.807 0.807 0.751
La 0.434 0.434 0.250
La 0.566 0.566 0.750
B 0.009 0.009 0.250
B 0.991 0.991 0.750

Properties
* symmetry: No. 12
* volume: 27.802 Å³ per atom
* spin magnetization: 0.0 μB per cell
* density of states at the Fermi level: 6.6 states/eV per cell

=====

Entry b
Computed, not measured: crystalline CaLaB at its relaxed geometry at the PBE level of DFT.

Cell: 5.390 9.362 9.362 Å, 20.46 90.00 90.00°
Element x y z (fractional)
Ca 0.000 0.000 0.000
Ca 0.500 0.385 0.385
La 0.000 0.768 0.768
La 0.500 0.131 0.131
B 0.000 0.149 0.149
B 0.000 0.624 0.624

Properties
* symmetry: No. 38
* volume: 27.527 Å³ per atom
* spin magnetization: 0.0 μB per cell
* density of states at the Fermi level: 6.9 states/eV per cell

=====

Entry c
Computed, not measured: crystalline CaLaB at its relaxed geometry at the PBE level of DFT.

Cell: 4.271 5.195 7.641 Å, 84.00 86.29 82.29°
Element x y z (fractional)
Ca 0.214 0.211 0.156
Ca 0.786 0.789 0.844
La 0.325 0.313 0.638
La 0.675 0.687 0.362
B 0.114 0.868 0.532
B 0.886 0.132 0.468

Properties
* symmetry: No. 2
* volume: 27.814 Å³ per atom
* spin magnetization: 0.0 μB per cell
* density of states at the Fermi level: 3.9 states/eV per cell

=====

Entry d
Computed, not measured: crystalline CaLaB at its relaxed geometry at the PBE level of DFT.

Cell: 4.878 4.878 6.659 Å, 90.00 90.00 120.00°
Element x y z (fractional)
Ca 0.000 0.000 0.000
Ca 0.000 0.000 0.500
La 0.333 0.667 0.250
La 0.667 0.333 0.750
B 0.333 0.667 0.750
B 0.667 0.333 0.250

Properties
* symmetry: No. 194
* volume: 22.867 Å³ per atom
* spin magnetization: 0.0 μB per cell
* density of states at the Fermi level: 0.6 states/eV per cell

=====

What should be chosen as the least stable of them? Choose entry d.

=====

Entry a
Computed, not measured: crystalline CaLaB at its relaxed geometry at the PBE level of DFT.

Cell: 4.721 4.721 9.998 Å, 90.00 90.00 120.00°
Element x y z (fractional)
Ca 0.333 0.667 0.250
Ca 0.667 0.333 0.750
La 0.000 0.000 0.000
La 0.000 0.000 0.500
B 0.000 0.000 0.250
B 0.000 0.000 0.750

Properties
* symmetry: No. 194
* volume: 32.169 Å³ per atom
* spin magnetization: 0.0 μB per cell
* density of states at the Fermi level: 5.8 states/eV per cell

=====

Entry b
Computed, not measured: crystalline CaLaB at its relaxed geometry at the PBE level of DFT.

Cell: 4.761 4.761 7.222 Å, 90.00 90.00 90.00°
Element x y z (fractional)
Ca 0.250 0.250 0.210
Ca 0.750 0.750 0.790
La 0.250 0.250 0.667
La 0.750 0.750 0.333
B 0.250 0.750 0.500
B 0.750 0.250 0.500

Properties
* symmetry: No. 129
* volume: 27.284 Å³ per atom
* spin magnetization: 0.0 μB per cell
* density of states at the Fermi level: 2.9 states/eV per cell

=====

What should be chosen as the least stable of them? Choose entry a.

=====

Entry a
Computed, not measured: crystalline CaLa3B at its relaxed geometry at the PBE level of DFT.

Cell: 5.525 5.525 5.525 Å, 90.00 90.00 90.00°
Element x y z (fractional)
Ca 0.000 0.000 0.000
La 0.000 0.500 0.500
La 0.500 0.000 0.500
La 0.500 0.500 0.000
B 0.500 0.500 0.500

Properties
* symmetry: No. 221
* volume: 33.724 Å³ per atom
* spin magnetization: 0.0 μB per cell
* density of states at the Fermi level: 9.8 states/eV per cell

=====

Entry b
Computed, not measured: crystalline CaLa3B at its relaxed geometry at the PBE level of DFT.

Cell: 5.658 5.658 5.658 Å, 90.00 90.00 90.00°
Element x y z (fractional)
Ca 0.000 0.000 0.000
La 0.000 0.000 0.500
La 0.000 0.500 0.000
La 0.500 0.000 0.000
B 0.500 0.500 0.500

Properties
* symmetry: No. 221
* volume: 36.224 Å³ per atom
* spin magnetization: 0.0 μB per cell
* density of states at the Fermi level: 7.2 states/eV per cell

=====

What should be chosen as the least stable of them? Choose entry b.

=====

Entry a
Computed, not measured: crystalline Li2CaB2 at its relaxed geometry at the PBE level of DFT.

Cell: 6.433 6.433 3.992 Å, 90.00 90.00 90.00°
Element x y z (fractional)
Li 0.133 0.367 0.000
Li 0.367 0.867 0.000
Li 0.633 0.133 0.000
Li 0.867 0.633 0.000
Ca 0.000 0.000 0.500
Ca 0.500 0.500 0.500
B 0.085 0.585 0.500
B 0.415 0.085 0.500
B 0.585 0.915 0.500
B 0.915 0.415 0.500

Properties
* symmetry: No. 127
* volume: 16.523 Å³ per atom
* spin magnetization: 0.5 μB per cell
* density of states at the Fermi level: 7.1 states/eV per cell

=====

Entry b
Computed, not measured: crystalline Li2CaB2 at its relaxed geometry at the PBE level of DFT.

Cell: 5.228 5.228 5.228 Å, 134.95 134.95 65.61°
Element x y z (fractional)
Li 0.250 0.750 0.500
Li 0.750 0.250 0.500
Ca 0.000 0.000 0.000
B 0.412 0.412 0.000
B 0.588 0.588 0.000

Properties
* symmetry: No. 139
* volume: 14.102 Å³ per atom
* spin magnetization: 0.0 μB per cell
* density of states at the Fermi level: 0.5 states/eV per cell

=====

What should be chosen as the least stable of them? Choose entry a.

=====

Entry a
Computed, not measured: crystalline LiCaB2 at its relaxed geometry at the PBE level of DFT.

Cell: 4.251 4.251 4.251 Å, 60.00 60.00 60.00°
Element x y z (fractional)
Li 0.000 0.000 0.000
Ca 0.500 0.500 0.500
B 0.250 0.250 0.250
B 0.750 0.750 0.750

Properties
* symmetry: No. 225
* volume: 13.582 Å³ per atom
* spin magnetization: 0.0 μB per cell
* density of states at the Fermi level: 1.6 states/eV per cell

=====

Entry b
Computed, not measured: crystalline LiCaB2 at its relaxed geometry at the PBE level of DFT.

Cell: 8.197 8.197 8.197 Å, 154.41 154.41 36.51°
Element x y z (fractional)
Li 0.375 0.625 0.750
Li 0.625 0.375 0.250
Ca 0.125 0.875 0.250
Ca 0.875 0.125 0.750
B 0.000 0.500 0.500
B 0.500 0.000 0.000
B 0.500 0.500 0.000
B 0.500 0.500 0.500

Properties
* symmetry: No. 141
* volume: 12.830 Å³ per atom
* spin magnetization: 0.0 μB per cell
* density of states at the Fermi level: 2.8 states/eV per cell

=====

What should be chosen as the least stable of them? Choose entry a.

=====

Entry a
Computed, not measured: crystalline Ca2MgB at its relaxed geometry at the PBE level of DFT.

Cell: 7.558 7.558 7.558 Å, 95.09 95.09 145.33°
Element x y z (fractional)
Ca 0.375 0.206 0.331
Ca 0.794 0.125 0.169
Ca 0.875 0.044 0.669
Ca 0.956 0.625 0.831
Mg 0.250 0.750 0.500
Mg 0.500 0.500 0.000
B 0.000 0.000 0.000
B 0.750 0.250 0.500

Properties
* symmetry: No. 122
* volume: 29.304 Å³ per atom
* spin magnetization: 0.0 μB per cell
* density of states at the Fermi level: 7.2 states/eV per cell

=====

Entry b
Computed, not measured: crystalline Ca2MgB at its relaxed geometry at the PBE level of DFT.

Cell: 5.049 5.049 5.049 Å, 60.00 60.00 60.00°
Element x y z (fractional)
Ca 0.250 0.250 0.250
Ca 0.750 0.750 0.750
Mg 0.000 0.000 0.000
B 0.500 0.500 0.500

Properties
* symmetry: No. 225
* volume: 22.756 Å³ per atom
* spin magnetization: 0.0 μB per cell
* density of states at the Fermi level: 2.8 states/eV per cell

=====

What should be chosen as the least stable of them? Choose entry b.

=====

Entry a
Computed, not measured: crystalline CaMgBN2 at its relaxed geometry at the PBE level of DFT.

Cell: 4.075 4.075 4.252 Å, 90.00 90.00 90.00°
Element x y z (fractional)
Ca 0.000 0.000 0.000
Mg 0.500 0.500 0.500
B 0.500 0.500 0.000
N 0.000 0.500 0.500
N 0.500 0.000 0.500

Properties
* symmetry: No. 123
* volume: 14.118 Å³ per atom
* spin magnetization: 0.0 μB per cell
* density of states at the Fermi level: 3.1 states/eV per cell

=====

Entry b
Computed, not measured: crystalline CaMgBN2 at its relaxed geometry at the PBE level of DFT.

Cell: 5.254 4.576 6.233 Å, 90.00 90.06 90.00°
Element x y z (fractional)
Ca 0.000 0.000 0.250
Ca 0.000 0.000 0.750
Mg 0.500 0.500 0.250
Mg 0.500 0.500 0.750
B 0.500 0.000 0.000
B 0.500 0.000 0.500
N 0.316 0.211 0.000
N 0.316 0.789 0.500
N 0.684 0.211 0.500
N 0.684 0.789 0.000

Properties
* symmetry: No. 13
* volume: 14.985 Å³ per atom
* spin magnetization: 0.0 μB per cell
* density of states at the Fermi level: 2.9 states/eV per cell

=====

What should be chosen as the least stable of them? Choose entry a.

=====

Entry a
Computed, not measured: crystalline NaCa2MgB at its relaxed geometry at the PBE level of DFT.

Cell: 5.816 5.816 5.045 Å, 90.00 90.00 90.00°
Element x y z (fractional)
Na 0.000 0.000 0.000
Ca 0.000 0.500 0.000
Ca 0.500 0.000 0.000
Mg 0.000 0.000 0.500
B 0.500 0.500 0.500

Properties
* symmetry: No. 123
* volume: 34.129 Å³ per atom
* spin magnetization: 0.0 μB per cell
* density of states at the Fermi level: 4.1 states/eV per cell

=====

Entry b
Computed, not measured: crystalline NaCa2MgB at its relaxed geometry at the PBE level of DFT.

Cell: 5.307 5.307 5.276 Å, 90.00 90.00 90.00°
Element x y z (fractional)
Na 0.000 0.000 0.000
Ca 0.000 0.500 0.500
Ca 0.500 0.000 0.500
Mg 0.500 0.500 0.000
B 0.000 0.000 0.500

Properties
* symmetry: No. 123
* volume: 29.722 Å³ per atom
* spin magnetization: 0.8 μB per cell
* density of states at the Fermi level: 4.3 states/eV per cell

=====

What should be chosen as the least stable of them? Choose entry a.